# 1
MgBe2 | Alexandria via LeMat-Bulk | PBE | relaxed; excess energy over the best structure of this formula in the dataset = 67.4 meV per atom; electronic total energy = -0.2099 Ry per atom
1.0
4.254 0.000 0.000
0.000 3.681 0.000
-0.336 0.000 5.028
Mg Be
2 4
Cartesian
0.000 0.000 0.000
1.757 1.841 3.896
0.404 0.000 2.430
1.448 1.841 1.463
2.516 0.000 2.126
3.590 1.841 1.822

# 2
Mg3Be4 | Alexandria via LeMat-Bulk | PBE | relaxed; excess energy over the best structure of this formula in the dataset = 0.0 meV per atom; electronic total energy = -0.1860 Ry per atom
1.0
-1.411 1.411 11.980
1.411 -1.411 11.980
1.411 1.411 -11.980
Mg Be
3 4
Cartesian
0.000 0.000 0.000
0.000 0.000 7.275
0.000 0.000 16.685
0.000 0.000 2.830
0.000 0.000 10.120
0.000 0.000 13.840
0.000 0.000 21.129

# 3
MgBe2 | Alexandria via LeMat-Bulk | PBE | relaxed; excess energy over the best structure of this formula in the dataset = 0.0 meV per atom; electronic total energy = -0.2148 Ry per atom
1.0
0.000 3.283 3.283
3.283 0.000 3.283
3.283 3.283 0.000
Mg Be
2 4
Cartesian
0.821 0.821 0.821
5.745 5.745 5.745
3.283 1.641 1.641
1.641 3.283 1.641
1.641 1.641 3.283
3.283 3.283 3.283

# 4
MgBe2 | Alexandria via LeMat-Bulk | PBE | relaxed; excess energy over the best structure of this formula in the dataset = 454.0 meV per atom; electronic total energy = -0.1815 Ry per atom
1.0
2.711 0.000 0.000
-1.356 2.348 0.000
0.000 0.000 6.108
Mg Be
1 2
Cartesian
0.000 0.000 0.000
0.000 1.565 3.878
1.356 0.783 2.230

# 5
MgBe2 | Alexandria via LeMat-Bulk | PBE | relaxed; excess energy over the best structure of this formula in the dataset = 525.5 meV per atom; electronic total energy = -0.1762 Ry per atom
1.0
5.938 0.000 0.000
-2.969 5.143 0.000
0.000 0.000 4.107
Mg Be
3 6
Cartesian
0.000 0.000 0.000
0.000 3.429 2.053
2.969 1.714 2.053
-0.629 1.089 2.053
-1.310 2.268 0.000
1.257 0.000 2.053
2.619 0.000 0.000
1.660 2.875 0.000
2.341 4.054 2.053

# 6
MgBe2 | Alexandria via LeMat-Bulk | PBE | relaxed; excess energy over the best structure of this formula in the dataset = 5.9 meV per atom; electronic total energy = -0.2144 Ry per atom
1.0
3.712 0.000 0.000
0.000 4.413 0.000
-1.842 0.000 4.527
Mg Be
2 4
Cartesian
0.008 1.103 1.994
1.862 3.310 2.533
0.002 3.310 0.454
1.856 0.000 0.000
1.856 2.207 0.000
1.868 1.103 4.073

What formation enthalpy at 0 K values result from the calculations? In sequence: 160 282 93 547 618 99 meV/atom.
What theoretical density values result from the calculations? In sequence: 1.8 1.9 2.0 1.8 1.7 1.9 g cm⁻³.